# 1
{
  "formula": "Tl2SiPt",
  "functional": "GGA-PBE",
  "state": "relaxed",
  "lattice": [[3.361, 0.000, 0.000], [0.000, 3.361, 0.000], [0.000, 0.000, 7.645]],
  "species": ["Pt", "Si", "Tl", "Tl"],
  "frac_coords": [[0.500, 0.500, 0.250], [0.500, 0.500, 0.750], [0.000, 0.000, 0.016], [0.000, 0.000, 0.484]],
  "e_form_raw_ev_per_atom": 0.40,
  "dos_at_fermi_per_ev_fu": 1.82,
  "sg": "P4/mmm (123)"
}

# 2
{
  "formula": "V2AgRu",
  "functional": "GGA-PBE",
  "state": "relaxed",
  "lattice": [[6.911, 0.000, 0.000], [0.000, 6.911, 0.000], [3.455, 3.455, 2.685]],
  "species": ["Ru", "Ru", "Ag", "Ag", "V", "V", "V", "V"],
  "frac_coords": [[0.500, 0.500, 0.000], [0.250, 0.750, 0.500], [0.000, 0.000, 0.000], [0.750, 0.250, 0.500], [0.589, 0.125, 0.250], [0.161, 0.625, 0.250], [0.375, 0.411, 0.750], [0.875, 0.839, 0.750]],
  "formation_enthalpy_0k_ev_per_atom": 0.55,
  "dos_at_fermi_per_ev_fu": 4.41,
  "sg": "I-42d (122)"
}

# 3
{
  "formula": "NaInH3",
  "functional": "GGA-PBE",
  "state": "relaxed",
  "lattice": [[5.875, 0.000, 0.001], [2.938, 5.085, 0.000], [2.938, 1.695, 4.674]],
  "species": ["Na", "Na", "In", "In", "H", "H", "H", "H", "H", "H"],
  "frac_coords": [[0.369, 0.369, 0.892], [0.631, 0.631, 0.108], [0.857, 0.857, 0.430], [0.143, 0.143, 0.570], [0.791, 0.451, 0.722], [0.036, 0.791, 0.722], [0.451, 0.037, 0.722], [0.209, 0.549, 0.278], [0.964, 0.209, 0.278], [0.549, 0.963, 0.278]],
  "sg": "R-3 (148)",
  "e_above_lowest_polymorph_ev_per_atom": 0.009
}

# 4
{
  "formula": "InBiPbAu2",
  "functional": "GGA-PBE",
  "state": "relaxed",
  "lattice": [[4.485, 0.000, 0.000], [2.242, 8.543, -0.675], [2.242, 0.703, 6.872]],
  "species": ["In", "In", "Bi", "Bi", "Pb", "Pb", "Au", "Au", "Au", "Au"],
  "frac_coords": [[0.077, 0.056, 0.789], [0.923, 0.944, 0.211], [0.390, 0.369, 0.850], [0.610, 0.631, 0.150], [0.854, 0.672, 0.620], [0.146, 0.328, 0.380], [0.336, 0.877, 0.451], [0.664, 0.123, 0.549], [0.814, 0.269, 0.103], [0.186, 0.731, 0.897]],
  "formation_enthalpy_0k_ev_per_atom": -0.11,
  "dos_at_fermi_per_ev_fu": 1.39,
  "sg": "C2/m (12)"
}

# 5
{
  "formula": "Zn2InP",
  "functional": "GGA-PBE",
  "state": "relaxed",
  "lattice": [[2.671, -3.758, 0.000], [2.671, 3.758, 0.000], [0.000, 0.000, 3.739]],
  "species": ["Zn", "Zn", "In", "P"],
  "frac_coords": [[0.500, 0.000, 0.000], [0.000, 0.500, 0.000], [0.000, 0.000, 0.500], [0.500, 0.500, 0.500]],
  "formation_enthalpy_0k_ev_per_atom": 0.26,
  "dos_at_fermi_per_ev_fu": 1.21,
  "sg": "Cmmm (65)"
}

# 6
{
  "formula": "Dy2ErOs",
  "functional": "GGA-PBE",
  "state": "relaxed",
  "lattice": [[3.387, 0.000, 0.000], [0.000, 3.387, 0.000], [0.000, 0.000, 9.248]],
  "species": ["Dy", "Dy", "Os", "Er"],
  "frac_coords": [[0.000, 0.000, 0.819], [0.000, 0.000, 0.181], [0.500, 0.500, 0.000], [0.500, 0.500, 0.500]],
  "formation_enthalpy_0k_ev_per_atom": -0.09,
  "dos_at_fermi_per_ev_fu": 4.11,
  "sg": "P4/mmm (123)",
  "e_above_lowest_polymorph_ev_per_atom": 0.177
}

# 7
{
  "formula": "Tb3Pm8Ho",
  "functional": "GGA-PBE",
  "state": "relaxed",
  "lattice": [[7.265, 0.000, 0.000], [-3.632, 8.481, -8.458], [0.000, -3.684, 10.195]],
  "species": ["Tb", "Tb", "Tb", "Pm", "Pm", "Pm", "Pm", "Pm", "Pm", "Pm", "Pm", "Ho"],
  "frac_coords": [[0.750, 0.000, 0.000], [0.250, 0.500, 0.000], [0.750, 0.500, 0.000], [0.250, 0.500, 0.666], [0.750, 0.500, 0.334], [0.250, 0.000, 0.667], [0.750, 0.000, 0.666], [0.750, 0.500, 0.666], [0.250, 0.500, 0.334], [0.250, 0.000, 0.333], [0.750, 0.000, 0.334], [0.250, 0.000, 0.000]],
  "formation_enthalpy_0k_ev_per_atom": 0.01,
  "dos_at_fermi_per_ev_fu": 16.52,
  "sg": "Cmmm (65)"
}

# 8
{
  "formula": "CdHSN2",
  "functional": "GGA-PBE",
  "state": "relaxed",
  "lattice": [[4.401, 0.000, 0.000], [0.000, 4.401, 0.000], [0.000, 0.000, 5.386]],
  "species": ["H", "S", "N", "N", "Cd"],
  "frac_coords": [[0.500, 0.500, 0.500], [0.000, 0.000, 0.500], [0.000, 0.500, 0.000], [0.500, 0.000, 0.000], [0.000, 0.000, 0.000]],
  "dos_at_fermi_per_ev_fu": 4.52,
  "sg": "P4/mmm (123)",
  "e_above_lowest_polymorph_ev_per_atom": 0.432
}